Entry 1:
The following is a PBE calculation of crystalline CdAsPb2 at its relaxed geometry, from the Alexandria database.

CIF file:
```
data_CdAsPb2
_chemical_formula_sum 'Cd2 As2 Pb4'
_cell_length_a 5.004
_cell_length_b 5.004
_cell_length_c 8.596
_cell_angle_alpha 90.00
_cell_angle_beta 90.00
_cell_angle_gamma 90.00
_symmetry_space_group_name_H-M 'I 4/m m m'
_symmetry_Int_Tables_number 139
_symmetry_space_group_name_Hall '-I 4 2'
loop_
_atom_site_label
_atom_site_fract_x
_atom_site_fract_y
_atom_site_fract_z
Cd1 0.000 0.000 0.000
As1 0.000 0.000 0.500
Pb1 0.000 0.500 0.250
```

Calculated values
ΔE_f in eV per atom: 0.12
E in eV per atom: -3.126

Entry 2:
The following is a PBE calculation of crystalline CdAsPb2 at its relaxed geometry, from the Alexandria database.

CIF file:
```
data_CdAsPb2
_chemical_formula_sum 'Cd2 As2 Pb4'
_cell_length_a 4.515
_cell_length_b 4.515
_cell_length_c 10.569
_cell_angle_alpha 90.00
_cell_angle_beta 90.00
_cell_angle_gamma 90.00
_symmetry_space_group_name_H-M 'I -4 m 2'
_symmetry_Int_Tables_number 119
_symmetry_space_group_name_Hall 'I -4 -2'
loop_
_atom_site_label
_atom_site_fract_x
_atom_site_fract_y
_atom_site_fract_z
Cd1 0.000 0.000 0.000
As1 0.000 0.500 0.250
Pb1 0.000 0.000 0.500
Pb2 0.000 0.500 0.750
```

Calculated values
ΔE_f in eV per atom: 0.12
E in eV per atom: -3.121

Entry 3:
The following is a PBE calculation of crystalline Cd2AsPb at its relaxed geometry, from the Alexandria database.

CIF file:
```
data_Cd2AsPb
_chemical_formula_sum 'Cd2 As1 Pb1'
_cell_length_a 3.537
_cell_length_b 3.537
_cell_length_c 7.847
_cell_angle_alpha 90.00
_cell_angle_beta 90.00
_cell_angle_gamma 90.00
_symmetry_space_group_name_H-M 'P 4/m m m'
_symmetry_Int_Tables_number 123
_symmetry_space_group_name_Hall '-P 4 2'
loop_
_atom_site_label
_atom_site_fract_x
_atom_site_fract_y
_atom_site_fract_z
Cd1 0.000 0.000 0.210
As1 0.500 0.500 0.000
Pb1 0.500 0.500 0.500
```

Calculated values
ΔE_f in eV per atom: 0.13
E in eV per atom: -2.415

Entry 4:
The following is a PBE calculation of crystalline CdAsPb2 at its relaxed geometry, from the Alexandria database.

CIF file:
```
data_CdAsPb2
_chemical_formula_sum 'Cd4 As4 Pb8'
_cell_length_a 7.565
_cell_length_b 7.565
_cell_length_c 7.565
_cell_angle_alpha 90.00
_cell_angle_beta 90.00
_cell_angle_gamma 90.00
_symmetry_space_group_name_H-M 'F m -3 m'
_symmetry_Int_Tables_number 225
_symmetry_space_group_name_Hall '-F 4 2 3'
loop_
_atom_site_label
_atom_site_fract_x
_atom_site_fract_y
_atom_site_fract_z
Cd1 0.000 0.000 0.000
As1 0.000 0.000 0.500
Pb1 0.250 0.250 0.250
```

Calculated values
ΔE_f in eV per atom: 0.14
E in eV per atom: -3.110

Entry 5:
The following is a PBE calculation of crystalline CdAs2Pb at its relaxed geometry, from the Alexandria database.

CIF file:
```
data_CdAs2Pb
_chemical_formula_sum 'Cd3 As6 Pb3'
_cell_length_a 3.2765
_cell_length_b 3.2765
_cell_length_c 30.7792
_cell_angle_alpha 90.00
_cell_angle_beta 90.00
_cell_angle_gamma 120.00
_symmetry_space_group_name_H-M 'R -3 m'
_symmetry_Int_Tables_number 166
_symmetry_space_group_name_Hall '-R 3 2"'
loop_
_atom_site_label
_atom_site_fract_x
_atom_site_fract_y
_atom_site_fract_z
Cd1 0.0000 0.0000 0.0000
As1 0.0000 0.0000 0.2605
Pb1 0.0000 0.0000 0.5000
```

Calculated values
ΔE_f in eV per atom: 0.26
E in eV per atom: -3.217

Entry 6:
The following is a PBE calculation of crystalline CdAs2Pb at its relaxed geometry, from the Alexandria database.

CIF file:
```
data_CdAs2Pb
_chemical_formula_sum 'Cd1 As2 Pb1'
_cell_length_a 3.831
_cell_length_b 3.983
_cell_length_c 7.056
_cell_angle_alpha 90.00
_cell_angle_beta 90.00
_cell_angle_gamma 90.00
_symmetry_space_group_name_H-M 'P m m 2'
_symmetry_Int_Tables_number 25
loop_
_symmetry_equiv_pos_as_xyz
'x,y,z'
'-x,-y,z'
'-x,y,z'
'x,-y,z'
loop_
_atom_site_label
_atom_site_fract_x
_atom_site_fract_y
_atom_site_fract_z
Cd1 0.000 0.000 0.000
As1 0.000 0.000 0.613
As2 0.500 0.500 0.086
Pb1 0.500 0.500 0.482
```

Calculated values
ΔE_f in eV per atom: 0.11
E in eV per atom: -3.372

Entry 7:
The following is a PBE calculation of crystalline Cd2AsPb at its relaxed geometry, from the Alexandria database.

CIF file:
```
data_Cd2AsPb
_chemical_formula_sum 'Cd4 As2 Pb2'
_cell_length_a 10.485
_cell_length_b 3.589
_cell_length_c 5.666
_cell_angle_alpha 90.00
_cell_angle_beta 110.06
_cell_angle_gamma 90.00
_symmetry_space_group_name_H-M 'C 1 2/m 1'
_symmetry_Int_Tables_number 12
loop_
_symmetry_equiv_pos_as_xyz
'x,y,z'
'-x,-y,-z'
'-x,y,-z'
'x,-y,z'
'x+1/2,y+1/2,z'
'-x+1/2,-y+1/2,-z'
'-x+1/2,y+1/2,-z'
'x+1/2,-y+1/2,z'
loop_
_atom_site_label
_atom_site_fract_x
_atom_site_fract_y
_atom_site_fract_z
Cd1 0.229 0.000 0.222
As1 0.000 0.500 0.000
Pb1 0.000 0.000 0.500
```

Calculated values
ΔE_f in eV per atom: 0.11
E in eV per atom: -2.435

Entry 8:
The following is a PBE calculation of crystalline CdAsPb3 at its relaxed geometry, from the Alexandria database.

CIF file:
```
data_CdAsPb3
_chemical_formula_sum 'Cd1 As1 Pb3'
_cell_length_a 5.654
_cell_length_b 5.654
_cell_length_c 5.654
_cell_angle_alpha 90.00
_cell_angle_beta 90.00
_cell_angle_gamma 90.00
_symmetry_space_group_name_H-M 'P m -3 m'
_symmetry_Int_Tables_number 221
_symmetry_space_group_name_Hall '-P 4 2 3'
loop_
_atom_site_label
_atom_site_fract_x
_atom_site_fract_y
_atom_site_fract_z
Cd1 0.000 0.000 0.000
As1 0.500 0.500 0.500
Pb1 0.000 0.500 0.500
```

Calculated values
ΔE_f in eV per atom: 0.41
E in eV per atom: -2.924

Entry 9:
The following is a PBE calculation of crystalline CdAs2Pb at its relaxed geometry, from the Alexandria database.

CIF file:
```
data_CdAs2Pb
_chemical_formula_sum 'Cd2 As4 Pb2'
_cell_length_a 4.565
_cell_length_b 4.565
_cell_length_c 9.119
_cell_angle_alpha 90.00
_cell_angle_beta 90.00
_cell_angle_gamma 90.00
_symmetry_space_group_name_H-M 'I -4 m 2'
_symmetry_Int_Tables_number 119
_symmetry_space_group_name_Hall 'I -4 -2'
loop_
_atom_site_label
_atom_site_fract_x
_atom_site_fract_y
_atom_site_fract_z
Cd1 0.000 0.000 0.000
As1 0.000 0.000 0.500
As2 0.000 0.500 0.250
Pb1 0.000 0.500 0.750
```

Calculated values
ΔE_f in eV per atom: 0.28
E in eV per atom: -3.199

Entry 10:
The following is a PBE calculation of crystalline CdAs2Pb at its relaxed geometry, from the Alexandria database.

CIF file:
```
data_CdAs2Pb
_chemical_formula_sum 'Cd2 As4 Pb2'
_cell_length_a 4.085
_cell_length_b 5.154
_cell_length_c 9.020
_cell_angle_alpha 90.00
_cell_angle_beta 90.00
_cell_angle_gamma 90.00
_symmetry_space_group_name_H-M 'C m m m'
_symmetry_Int_Tables_number 65
_symmetry_space_group_name_Hall '-C 2 2'
loop_
_atom_site_label
_atom_site_fract_x
_atom_site_fract_y
_atom_site_fract_z
Cd1 0.000 0.000 0.000
As1 0.000 0.500 0.225
Pb1 0.000 0.000 0.500
```

Calculated values
ΔE_f in eV per atom: 0.23
E in eV per atom: -3.251

Entry 11:
The following is a PBE calculation of crystalline CdAsPb2 at its relaxed geometry, from the Alexandria database.

CIF file:
```
data_CdAsPb2
_chemical_formula_sum 'Cd3 As3 Pb6'
_cell_length_a 4.1518
_cell_length_b 4.1518
_cell_length_c 23.8168
_cell_angle_alpha 90.00
_cell_angle_beta 90.00
_cell_angle_gamma 120.00
_symmetry_space_group_name_H-M 'R 3 m'
_symmetry_Int_Tables_number 160
_symmetry_space_group_name_Hall 'R 3 -2"'
loop_
_atom_site_label
_atom_site_fract_x
_atom_site_fract_y
_atom_site_fract_z
Cd1 0.0000 0.0000 0.0000
As1 0.0000 0.0000 0.1677
Pb1 0.0000 0.0000 0.5745
Pb2 0.0000 0.0000 0.7611
```

Calculated values
ΔE_f in eV per atom: 0.07
E in eV per atom: -3.175

Entry 12:
The following is a PBE calculation of crystalline Cd4AsPb at its relaxed geometry, from the Alexandria database.

CIF file:
```
data_Cd4AsPb
_chemical_formula_sum 'Cd16 As4 Pb4'
_cell_length_a 8.349
_cell_length_b 8.349
_cell_length_c 8.349
_cell_angle_alpha 90.00
_cell_angle_beta 90.00
_cell_angle_gamma 90.00
_symmetry_space_group_name_H-M 'F -4 3 m'
_symmetry_Int_Tables_number 216
_symmetry_space_group_name_Hall 'F -4 2 3'
loop_
_atom_site_label
_atom_site_fract_x
_atom_site_fract_y
_atom_site_fract_z
Cd1 0.125 0.125 0.125
As1 0.000 0.000 0.500
Pb1 0.250 0.250 0.750
```

Calculated values
ΔE_f in eV per atom: 0.19
E in eV per atom: -1.813

Entry 13:
The following is a PBE calculation of crystalline CdAsPb2 at its relaxed geometry, from the Alexandria database.

CIF file:
```
data_CdAsPb2
_chemical_formula_sum 'Cd4 As4 Pb8'
_cell_length_a 7.553
_cell_length_b 7.553
_cell_length_c 7.553
_cell_angle_alpha 90.00
_cell_angle_beta 90.00
_cell_angle_gamma 90.00
_symmetry_space_group_name_H-M 'F -4 3 m'
_symmetry_Int_Tables_number 216
_symmetry_space_group_name_Hall 'F -4 2 3'
loop_
_atom_site_label
_atom_site_fract_x
_atom_site_fract_y
_atom_site_fract_z
Cd1 0.000 0.000 0.000
As1 0.250 0.250 0.250
Pb1 0.000 0.000 0.500
Pb2 0.250 0.250 0.750
```

Calculated values
ΔE_f in eV per atom: 0.18
E in eV per atom: -3.061

Entry 14:
The following is a PBE calculation of crystalline CdAs2Pb at its relaxed geometry, from the Alexandria database.

CIF file:
```
data_CdAs2Pb
_chemical_formula_sum 'Cd1 As2 Pb1'
_cell_length_a 3.878
_cell_length_b 3.878
_cell_length_c 6.416
_cell_angle_alpha 90.00
_cell_angle_beta 90.00
_cell_angle_gamma 90.00
_symmetry_space_group_name_H-M 'P 4/m m m'
_symmetry_Int_Tables_number 123
_symmetry_space_group_name_Hall '-P 4 2'
loop_
_atom_site_label
_atom_site_fract_x
_atom_site_fract_y
_atom_site_fract_z
Cd1 0.000 0.000 0.000
As1 0.500 0.500 0.199
Pb1 0.000 0.000 0.500
```

Calculated values
ΔE_f in eV per atom: 0.14
E in eV per atom: -3.344

Entry 15:
The following is a PBE calculation of crystalline CdAs2Pb2 at its relaxed geometry, from the Alexandria database.

CIF file:
```
data_CdAs2Pb2
_chemical_formula_sum 'Cd2 As4 Pb4'
_cell_length_a 3.799
_cell_length_b 3.799
_cell_length_c 18.571
_cell_angle_alpha 90.00
_cell_angle_beta 90.00
_cell_angle_gamma 90.00
_symmetry_space_group_name_H-M 'I 4/m m m'
_symmetry_Int_Tables_number 139
_symmetry_space_group_name_Hall '-I 4 2'
loop_
_atom_site_label
_atom_site_fract_x
_atom_site_fract_y
_atom_site_fract_z
Cd1 0.000 0.000 0.000
As1 0.000 0.500 0.250
Pb1 0.000 0.000 0.394
```

Calculated values
ΔE_f in eV per atom: 0.14
E in eV per atom: -3.389

Entry 16:
The following is a PBE calculation of crystalline Cd2As2Pb at its relaxed geometry, from the Alexandria database.

CIF file:
```
data_Cd2As2Pb
_chemical_formula_sum 'Cd4 As4 Pb2'
_cell_length_a 4.539
_cell_length_b 4.539
_cell_length_c 12.218
_cell_angle_alpha 90.00
_cell_angle_beta 90.00
_cell_angle_gamma 90.00
_symmetry_space_group_name_H-M 'I 4/m m m'
_symmetry_Int_Tables_number 139
_symmetry_space_group_name_Hall '-I 4 2'
loop_
_atom_site_label
_atom_site_fract_x
_atom_site_fract_y
_atom_site_fract_z
Cd1 0.000 0.000 0.113
As1 0.000 0.500 0.250
Pb1 0.000 0.000 0.500
```

Calculated values
ΔE_f in eV per atom: 0.15
E in eV per atom: -2.814

Entry 17:
The following is a PBE calculation of crystalline CdAsPb2 at its relaxed geometry, from the Alexandria database.

CIF file:
```
data_CdAsPb2
_chemical_formula_sum 'Cd2 As2 Pb4'
_cell_length_a 4.286
_cell_length_b 5.370
_cell_length_c 9.457
_cell_angle_alpha 90.00
_cell_angle_beta 90.00
_cell_angle_gamma 90.00
_symmetry_space_group_name_H-M 'C m m m'
_symmetry_Int_Tables_number 65
_symmetry_space_group_name_Hall '-C 2 2'
loop_
_atom_site_label
_atom_site_fract_x
_atom_site_fract_y
_atom_site_fract_z
Cd1 0.000 0.000 0.000
As1 0.000 0.000 0.500
Pb1 0.000 0.500 0.268
```

Calculated values
ΔE_f in eV per atom: 0.16
E in eV per atom: -3.086

Entry 18:
The following is a PBE calculation of crystalline Cd12As5Pb3 at its relaxed geometry, from the Alexandria database.

CIF file:
```
data_Cd12As5Pb3
_chemical_formula_sum 'Cd96 As40 Pb24'
_cell_length_a 16.569
_cell_length_b 16.569
_cell_length_c 16.569
_cell_angle_alpha 90.00
_cell_angle_beta 90.00
_cell_angle_gamma 90.00
_symmetry_space_group_name_H-M 'I a -3 d'
_symmetry_Int_Tables_number 230
_symmetry_space_group_name_Hall '-I 4bd 2c 3'
loop_
_atom_site_label
_atom_site_fract_x
_atom_site_fract_y
_atom_site_fract_z
Cd1 0.028 0.073 0.647
As1 0.000 0.000 0.000
As2 0.000 0.250 0.375
Pb1 0.000 0.250 0.125
```

Calculated values
ΔE_f in eV per atom: 0.04
E in eV per atom: -2.226

Entry 19:
The following is a PBE calculation of crystalline CdAsPb2 at its relaxed geometry, from the Alexandria database.

CIF file:
```
data_CdAsPb2
_chemical_formula_sum 'Cd1 As1 Pb2'
_cell_length_a 3.730
_cell_length_b 3.739
_cell_length_c 7.856
_cell_angle_alpha 90.00
_cell_angle_beta 90.03
_cell_angle_gamma 90.00
_symmetry_space_group_name_H-M 'P 1 2/m 1'
_symmetry_Int_Tables_number 10
loop_
_symmetry_equiv_pos_as_xyz
'x,y,z'
'-x,-y,-z'
'-x,y,-z'
'x,-y,z'
loop_
_atom_site_label
_atom_site_fract_x
_atom_site_fract_y
_atom_site_fract_z
Cd1 0.000 0.000 0.000
As1 0.000 0.000 0.500
Pb1 0.496 0.500 0.281
```

Calculated values
ΔE_f in eV per atom: 0.09
E in eV per atom: -3.151

Entry 20:
The following is a PBE calculation of crystalline CdAs2Pb2 at its relaxed geometry, from the Alexandria database.

CIF file:
```
data_CdAs2Pb2
_chemical_formula_sum 'Cd2 As4 Pb4'
_cell_length_a 8.072
_cell_length_b 8.072
_cell_length_c 4.092
_cell_angle_alpha 90.00
_cell_angle_beta 90.00
_cell_angle_gamma 90.00
_symmetry_space_group_name_H-M 'P 4/m b m'
_symmetry_Int_Tables_number 127
_symmetry_space_group_name_Hall '-P 4 2ab'
loop_
_atom_site_label
_atom_site_fract_x
_atom_site_fract_y
_atom_site_fract_z
Cd1 0.000 0.000 0.000
As1 0.170 0.330 0.000
Pb1 0.147 0.647 0.500
```

Calculated values
ΔE_f in eV per atom: 0.10
E in eV per atom: -3.422